# 1
HfCoAg2 | PBE | relaxed

Cell and atoms, written as extended XYZ:
```
4
Lattice="0.0000 3.2182 3.2182 3.2182 0.0000 3.2182 3.2182 3.2182 0.0000" Properties=species:S:1:pos:R:3 pbc="T T T"
Ag 0.0000 0.0000 0.0000
Ag 4.8274 4.8274 4.8274
Co 1.6091 1.6091 1.6091
Hf 3.2182 3.2182 3.2182
```

Calculated values
- formation energy (eV per atom) = 0.1047
- space-group type = F-43m (216)

---

# 2
Hf2CoAg | PBE | relaxed

Cell and atoms, written as extended XYZ:
```
4
Lattice="0.0000 3.2391 3.2391 3.2391 0.0000 3.2391 3.2391 3.2391 0.0000" Properties=species:S:1:pos:R:3 pbc="T T T"
Ag 3.2391 3.2391 3.2391
Co 1.6196 1.6196 1.6196
Hf 0.0000 0.0000 0.0000
Hf 4.8587 4.8587 4.8587
```

Calculated values
- formation energy (eV per atom) = 0.1665
- space-group type = F-43m (216)

---

# 3
HfCoAgSn | PBE | relaxed

Cell and atoms, written as extended XYZ:
```
4
Lattice="0.0000 3.2589 3.2589 3.2589 0.0000 3.2589 3.2589 3.2589 0.0000" Properties=species:S:1:pos:R:3 pbc="T T T"
Ag 1.6294 1.6294 1.6294
Co 4.8884 4.8884 4.8884
Hf 3.2589 3.2589 3.2589
Sn 0.0000 0.0000 0.0000
```

Calculated values
- offset from the most stable computed form (meV per atom) = 0.0
- space-group type = F-43m (216)

---

# 4
HfCoAgSn | PBE | relaxed

Cell and atoms, written as extended XYZ:
```
4
Lattice="4.4755 -0.0760 -1.1961 2.6679 -3.5804 1.2368 1.4906 -2.9945 -3.2059" Properties=species:S:1:pos:R:3 pbc="T T T"
Ag 4.3170 -3.3254 -1.5826
Co 6.4755 -4.9882 -2.3739
Hf 2.1585 -1.6627 -0.7913
Sn 0.0000 0.0000 0.0000
```

Calculated values
- offset from the most stable computed form (meV per atom) = 197.7
- space-group type = F-43m (216)

---

# 5
HfZnCoAg | PBE | relaxed

Cell and atoms, written as extended XYZ:
```
4
Lattice="0.0000 3.1513 3.1513 3.1513 0.0000 3.1513 3.1513 3.1513 0.0000" Properties=species:S:1:pos:R:3 pbc="T T T"
Ag 1.5757 1.5757 1.5757
Co 4.7270 4.7270 4.7270
Hf 3.1513 3.1513 3.1513
Zn 0.0000 0.0000 0.0000
```

Calculated values
- offset from the most stable computed form (meV per atom) = 0.0
- formation energy (eV per atom) = -0.0413
- space-group type = F-43m (216)

---

# 6
HfZnCoAg | PBE | relaxed

Cell and atoms, written as extended XYZ:
```
4
Lattice="-3.1269 1.6096 2.7893 -4.2407 0.4488 -1.4012 -3.1926 -2.7186 1.6016" Properties=species:S:1:pos:R:3 pbc="T T T"
Ag -5.2801 -0.3301 1.4948
Co -7.9201 -0.4951 2.2422
Hf -2.6400 -0.1650 0.7474
Zn 0.0000 0.0000 0.0000
```

Calculated values
- offset from the most stable computed form (meV per atom) = 169.6
- formation energy (eV per atom) = 0.1283
- space-group type = F-43m (216)

---

# 7
Co2AgHg | PBE | relaxed

Cell and atoms, written as extended XYZ:
```
4
Lattice="0.0000 3.1330 3.1330 3.1330 0.0000 3.1330 3.1330 3.1330 0.0000" Properties=species:S:1:pos:R:3 pbc="T T T"
Ag 4.6995 4.6995 4.6995
Co 1.5665 1.5665 1.5665
Co 3.1330 3.1330 3.1330
Hg 0.0000 0.0000 0.0000
```

Calculated values
- formation energy (eV per atom) = 0.5178
- space-group type = F-43m (216)

---

# 8
InCoAgHg | PBE | relaxed

Cell and atoms, written as extended XYZ:
```
4
Lattice="0.0000 3.2858 3.2858 3.2858 0.0000 3.2858 3.2858 3.2858 0.0000" Properties=species:S:1:pos:R:3 pbc="T T T"
Ag 1.6429 1.6429 1.6429
Co 4.9287 4.9287 4.9287
Hg 3.2858 3.2858 3.2858
In 0.0000 0.0000 0.0000
```

Calculated values
- offset from the most stable computed form (meV per atom) = 0.0
- space-group type = F-43m (216)